Material: MoAs3
Method: DFT, PBE
State: relaxed

Computed properties:
Magnetization: 0.44 μB per formula unit
Energy of formation from the pure elements: 1.1 eV/f.u.
V: 18.413 Å³ per atom
E above lowest polymorph: 303 meV/atom
Calculated total energy: -5.912 eV/atom
Density of states at the Fermi level: 0.6830 states/eV/atom

Unit cell a=3.626 b=4.993 c=4.091 alpha=90.00 beta=96.07 gamma=90.00
Element x y z (fractional)
Mo 0.000 0.000 0.000
As 0.222 0.500 0.796
As 0.500 0.000 0.500
As 0.778 0.500 0.204


Material: Mo4As3
Method: DFT, PBE
State: relaxed

Computed properties:
Magnetization: 0.00 μB per formula unit
Energy of formation from the pure elements: 4.4 eV/f.u.
V: 16.349 Å³ per atom
E above lowest polymorph: 671 meV/atom
Calculated total energy: -7.554 eV/atom
Density of states at the Fermi level: 1.0793 states/eV/atom

Unit cell a=5.188 b=5.188 c=4.910 alpha=90.00 beta=90.00 gamma=120.00
Element x y z (fractional)
Mo 0.000 0.000 0.244
Mo 0.000 0.000 0.756
Mo 0.333 0.667 0.000
Mo 0.667 0.333 0.000
As 0.000 0.500 0.500
As 0.500 0.000 0.500
As 0.500 0.500 0.500


Material: Mo7As6
Method: DFT, PBE
State: relaxed

Computed properties:
Magnetization: 0.00 μB per formula unit
Energy of formation from the pure elements: 2.3 eV/f.u.
V: 17.540 Å³ per atom
Calculated total energy: -7.799 eV/atom
Density of states at the Fermi level: 0.5851 states/eV/atom

Unit cell a=9.591 b=9.591 c=9.591 alpha=32.62 beta=32.62 gamma=32.62
Element x y z (fractional)
Mo 0.000 0.000 0.000
Mo 0.076 0.076 0.582
Mo 0.076 0.582 0.076
Mo 0.418 0.924 0.924
Mo 0.582 0.076 0.076
Mo 0.924 0.418 0.924
Mo 0.924 0.924 0.418
As 0.167 0.167 0.167
As 0.322 0.322 0.322
As 0.445 0.445 0.445
As 0.555 0.555 0.555
As 0.678 0.678 0.678
As 0.833 0.833 0.833


Material: Mo7As
Method: DFT, PBE
State: relaxed

Computed properties:
Magnetization: 0.00 μB per formula unit
Energy of formation from the pure elements: 2.6 eV/f.u.
V: 15.832 Å³ per atom
Calculated total energy: -9.728 eV/atom
Density of states at the Fermi level: 1.2014 states/eV/atom

Unit cell a=5.637 b=5.637 c=5.637 alpha=60.00 beta=60.00 gamma=60.00
Element x y z (fractional)
Mo 0.000 0.000 0.000
Mo 0.000 0.000 0.500
Mo 0.000 0.500 0.000
Mo 0.000 0.500 0.500
Mo 0.500 0.000 0.000
Mo 0.500 0.000 0.500
Mo 0.500 0.500 0.000
As 0.500 0.500 0.500